{
  "formula": "RbCaCuCl4",
  "functional": "PBE",
  "state": "optimized geometry",
  "formation_energy_uncorrected_kj_per_mol_atoms": -164,
  "spacegroup": "No. 11",
  "lattice": [[6.495, 0.000, 0.000], [0.000, 6.982, 0.000], [-3.067, 0.000, 8.452]],
  "species": ["Rb", "Rb", "Ca", "Ca", "Cu", "Cu", "Cl", "Cl", "Cl", "Cl", "Cl", "Cl", "Cl", "Cl"],
  "frac_coords": [[0.249, 0.250, 0.057], [0.751, 0.750, 0.943], [0.221, 0.250, 0.553], [0.779, 0.750, 0.447], [0.222, 0.750, 0.324], [0.778, 0.250, 0.676], [0.023, 0.505, 0.705], [0.023, 0.995, 0.705], [0.424, 0.750, 0.158], [0.465, 0.750, 0.582], [0.535, 0.250, 0.418], [0.576, 0.250, 0.842], [0.977, 0.005, 0.295], [0.977, 0.495, 0.295]]
}